Record 1
Here is a relaxed SrCdP crystal from Alexandria via LeMat-Bulk. Energies are from PBE.

- Total DFT energy (no corrections): -3.245 eV per atom
- ΔE to the lowest computed polymorph: 0.00 eV/f.u.
- Energy relative to the elements: -0.576 eV/atom
- Magnetic moment: 0.00 μB per formula unit

Structure (POSCAR):
```
SrCdP
1.0
4.990 0.000 0.000
0.000 4.047 0.000
-1.208 0.000 7.878
Sr Cd P
2 2 2
Direct
0.226 0.000 0.193
0.774 0.000 0.807
0.268 0.500 0.577
0.732 0.500 0.423
0.306 0.500 0.907
0.694 0.500 0.093
```

Record 2
Here is a relaxed Ce2BP4 crystal from Alexandria via LeMat-Bulk. Energies are from PBE.

- Total DFT energy (no corrections): -6.563 eV per atom
- Energy relative to the elements: -0.822 eV/atom
- Magnetic moment: 0.33 μB per formula unit

Structure (POSCAR):
```
Ce2BP4
1.0
6.413 0.000 0.000
0.000 5.474 0.000
-2.404 0.000 7.678
Ce B P
4 2 8
Direct
0.210 0.250 0.418
0.261 0.250 0.955
0.739 0.750 0.045
0.790 0.750 0.582
0.228 0.750 0.193
0.772 0.250 0.807
0.067 0.750 0.367
0.124 0.750 0.934
0.495 0.530 0.266
0.495 0.970 0.266
0.505 0.030 0.734
0.505 0.470 0.734
0.876 0.250 0.066
0.933 0.250 0.633
```

Record 3
Here is a relaxed GaSb2HAu crystal from Alexandria via LeMat-Bulk. Energies are from PBE.

- Total DFT energy (no corrections): -3.432 eV per atom
- Magnetic moment: 0.00 μB per formula unit

Structure (POSCAR):
```
GaSb2HAu
1.0
5.610 0.000 0.000
0.000 5.610 0.000
0.000 0.000 3.380
Ga Sb H Au
1 2 1 1
Direct
0.000 0.000 0.000
0.000 0.500 0.500
0.500 0.000 0.500
0.500 0.500 0.000
0.500 0.500 0.500
```

Record 4
Here is a relaxed Li5PtO4 crystal from Alexandria via LeMat-Bulk. Energies are from PBE.

- Total DFT energy (no corrections): -4.963 eV per atom
- Formation energy (no corrections): -1.419 eV/atom
- Magnetic moment: 1.00 μB per formula unit

Structure (POSCAR):
```
Li5PtO4
1.0
6.204 -1.562 0.000
6.204 1.562 0.000
-0.208 0.000 4.981
Li Pt O
5 1 4
Direct
0.000 0.000 0.000
0.319 0.319 0.516
0.323 0.323 0.994
0.677 0.677 0.006
0.681 0.681 0.484
0.000 0.000 0.500
0.188 0.188 0.242
0.442 0.442 0.264
0.558 0.558 0.736
0.812 0.812 0.758
```

Which value of total DFT energy (no corrections) does entry 2 give?
-6.563 eV per atom